[1]
VASP calculation (GGA-PBE) on a relaxed structure of Be2TeRh.

Values from the calculation:
* total magnetic moment: 0.0 μB/cell
* total energy: -50.464 eV per cell
* ΔE_f (raw): 281 meV/atom
* V: 181 Å³/cell

The structure in CIF format:
```
data_Be2TeRh
_chemical_formula_sum 'Be6 Te3 Rh3'
_cell_length_a 3.1956
_cell_length_b 3.1956
_cell_length_c 20.4184
_cell_angle_alpha 90.00
_cell_angle_beta 90.00
_cell_angle_gamma 120.00
_symmetry_space_group_name_H-M 'R -3 m'
_symmetry_Int_Tables_number 166
_symmetry_space_group_name_Hall '-R 3 2"'
loop_
_atom_site_label
_atom_site_fract_x
_atom_site_fract_y
_atom_site_fract_z
Be1 0.0000 0.0000 0.2371
Te1 0.0000 0.0000 0.0000
Rh1 0.0000 0.0000 0.5000
```

[2]
VASP calculation (GGA-PBE) on a relaxed structure of Ce4TlGe2.

Values from the calculation:
* total magnetic moment: 9.8 μB/cell
* total energy: -113.301 eV per cell
* V: 596 Å³/cell
* formation enthalpy at 0 K: -0.347 eV/atom

The structure in CIF format:
```
data_Ce4TlGe2
_chemical_formula_sum 'Ce12 Tl3 Ge6'
_cell_length_a 4.2246
_cell_length_b 4.2246
_cell_length_c 38.5290
_cell_angle_alpha 90.00
_cell_angle_beta 90.00
_cell_angle_gamma 120.00
_symmetry_space_group_name_H-M 'R -3 m'
_symmetry_Int_Tables_number 166
_symmetry_space_group_name_Hall '-R 3 2"'
loop_
_atom_site_label
_atom_site_fract_x
_atom_site_fract_y
_atom_site_fract_z
Ce1 0.0000 0.0000 0.1078
Ce2 0.0000 0.0000 0.3128
Tl1 0.0000 0.0000 0.5000
Ge1 0.0000 0.0000 0.3972
```

[3]
VASP calculation (GGA-PBE) on a relaxed structure of SrSnHg4.

Values from the calculation:
* total magnetic moment: 0.0 μB/cell
* total energy: -8.417 eV per cell
* V: 163 Å³/cell
* formation enthalpy at 0 K: -0.254 eV/atom
* energy relative to the lowest polymorph listed for this composition: 0 meV per atom

The structure in CIF format:
```
data_SrSnHg4
_chemical_formula_sum 'Sr1 Sn1 Hg4'
_cell_length_a 5.083
_cell_length_b 5.075
_cell_length_c 6.796
_cell_angle_alpha 90.00
_cell_angle_beta 111.64
_cell_angle_gamma 90.00
_symmetry_space_group_name_H-M 'P 1 2/m 1'
_symmetry_Int_Tables_number 10
loop_
_symmetry_equiv_pos_as_xyz
'x,y,z'
'-x,-y,-z'
'-x,y,-z'
'x,-y,z'
loop_
_atom_site_label
_atom_site_fract_x
_atom_site_fract_y
_atom_site_fract_z
Sr1 0.000 0.000 0.000
Sn1 0.500 0.500 0.000
Hg1 0.170 0.500 0.341
Hg2 0.323 0.000 0.646
```

[4]
VASP calculation (GGA-PBE) on a relaxed structure of OsBrF2.

Values from the calculation:
* total magnetic moment: 18.4 μB/cell
* total energy: -59.039 eV per cell
* ΔE_f (raw): 471 meV/atom
* V: 233 Å³/cell
* energy relative to the lowest polymorph listed for this composition: 1094 meV per atom

The structure in CIF format:
```
data_OsBrF2
_chemical_formula_sum 'Os4 Br4 F8'
_cell_length_a 6.150
_cell_length_b 6.150
_cell_length_c 6.150
_cell_angle_alpha 90.00
_cell_angle_beta 90.00
_cell_angle_gamma 90.00
_symmetry_space_group_name_H-M 'F m -3 m'
_symmetry_Int_Tables_number 225
_symmetry_space_group_name_Hall '-F 4 2 3'
loop_
_atom_site_label
_atom_site_fract_x
_atom_site_fract_y
_atom_site_fract_z
Os1 0.000 0.000 0.000
Br1 0.000 0.000 0.500
F1 0.250 0.250 0.250
```